1.
Here is crystalline CeGa5Cu2Pd at its relaxed geometry from Alexandria via LeMat-Bulk. Energies are from PBE.

Properties
Raw total energy ... -4.012 eV per atom
Fermi-level density of states ... 7.90 states/eV/cell
Formation enthalpy at 0 K ... -0.1837 eV/atom

Unit cell a=4.7619 b=4.7619 c=7.1496 alpha=90.00 beta=90.00 gamma=90.00
Last column: nearest neighbours and their distance in Å.
Fractional coordinates of all 9 atoms:
Ce1 0.0000 0.0000 0.0000  12 Ga 3.21-3.37, 2 Pd 3.57
Ga1 0.0000 0.5000 0.3014  2 Cu 2.39
Ga2 0.0000 0.5000 0.6986  2 Cu 2.39
Ga3 0.5000 0.0000 0.3014  2 Cu 2.39
Ga4 0.5000 0.0000 0.6986  2 Cu 2.39
Ga5 0.5000 0.5000 0.0000  2 Cu 2.38
Cu1 0.5000 0.5000 0.3328  5 Ga 2.38-2.39, 1 Cu 2.39
Cu2 0.5000 0.5000 0.6672  5 Ga 2.38-2.39, 1 Cu 2.39
Pd1 0.0000 0.0000 0.5000  8 Ga 2.77

2.
Here is crystalline CePr2Ga2Cu2 at its relaxed geometry from Alexandria via LeMat-Bulk. Energies are from PBE.

Properties
Raw total energy ... -4.598 eV per atom
Fermi-level density of states ... 8.08 states/eV/cell
Formation enthalpy at 0 K ... -0.3499 eV/atom

Unit cell a=9.8241 b=9.8241 c=9.8241 alpha=26.18 beta=26.18 gamma=26.18
Last column: nearest neighbours and their distance in Å.
Fractional coordinates of all 7 atoms:
Ce1 0.0000 0.0000 0.0000  6 Cu 3.08, 6 Ga 3.14
Pr1 0.1231 0.1231 0.1231  3 Ga 3.08, 3 Cu 3.14
Pr2 0.8769 0.8769 0.8769  3 Ga 3.08, 3 Cu 3.14
Ga1 0.2700 0.2700 0.2700  3 Cu 2.57
Ga2 0.7300 0.7300 0.7300  3 Cu 2.57
Cu1 0.3930 0.3930 0.3930  3 Ga 2.57
Cu2 0.6070 0.6070 0.6070  3 Ga 2.57

3.
Here is crystalline Ce2PrGa2Cu2 at its relaxed geometry from Alexandria via LeMat-Bulk. Energies are from PBE.

Properties
Raw total energy ... -4.821 eV per atom
Fermi-level density of states ... 8.30 states/eV/cell
Formation enthalpy at 0 K ... -0.4072 eV/atom

Unit cell a=9.4525 b=9.4525 c=9.4525 alpha=26.46 beta=26.46 gamma=26.46
Last column: nearest neighbours and their distance in Å.
Fractional coordinates of all 7 atoms:
Ce1 0.1408 0.1408 0.1408  3 Ce 2.87, 3 Cu 3.04, 3 Ga 3.10
Ce2 0.8592 0.8592 0.8592  3 Ce 2.87, 3 Cu 3.04, 3 Ga 3.10
Pr1 0.0000 0.0000 0.0000  6 Ga 3.21, 6 Cu 3.27
Ga1 0.2594 0.2594 0.2594  3 Cu 2.50
Ga2 0.7406 0.7406 0.7406  3 Cu 2.50
Cu1 0.4105 0.4105 0.4105  3 Ga 2.50
Cu2 0.5895 0.5895 0.5895  3 Ga 2.50